! Sr2CoO3 (PBE with a Hubbard U, optimized geometry); values from VASP
! DOS(E_F)	0.000	states/eV per atom
! E	-5.94	eV per atom
! density	4.981	g/cm³
&SYSTEM
  ibrav = 0, nat = 12, ntyp = 3
/
ATOMIC_SPECIES
O 16.00 O.upf
Sr 87.62 Sr.upf
Co 58.93 Co.upf
CELL_PARAMETERS angstrom
-1.125 4.638 2.011
0.976 -2.602 6.548
5.168 -0.145 -3.444
ATOMIC_POSITIONS crystal
O 0.835 0.975 0.698
O 0.165 0.025 0.302
Sr 0.336 0.906 0.666
O 0.566 0.750 0.000
O 0.434 0.250 0.000
O 0.863 0.475 0.698
Sr 0.664 0.094 0.334
Co 0.950 0.750 0.000
Sr 0.670 0.594 0.334
Sr 0.330 0.406 0.666
O 0.137 0.525 0.302
Co 0.050 0.250 0.000